CoHO2: optimized geometry, PBE+U.

The structure in POSCAR format:
```
CoHO2
1.0
-0.299 2.585 -1.128
-0.978 -0.531 2.608
3.895 1.194 1.704
O Co H
2 1 1
Cartesian
0.090 0.766 1.731 O
2.476 2.466 1.430 O
3.880 1.189 1.697 Co
1.607 2.200 1.050 H
```

Summary:
calculated density = 4964 kg/m3
energy = -22.153 eV/cell